! PBE LuGaOs2, optimized geometry; values from VASP
! * V: 16.6 A^3/atom
! * electronic total energy: -7.32 eV/atom
&SYSTEM
  ibrav = 0, nat = 4, ntyp = 3
/
ATOMIC_SPECIES
Lu 174.97 Lu.upf
Ga 69.72 Ga.upf
Os 190.23 Os.upf
ATOMIC_POSITIONS crystal
Lu 0.000 0.000 0.000
Ga 0.750 0.750 0.750
Os 0.250 0.250 0.250
Os 0.500 0.500 0.500
CELL_PARAMETERS angstrom
0.000 3.216 3.216
3.216 0.000 3.216
3.216 3.216 0.000